(1)
DFT (GGA-PBE) results for a geometry-optimized UInHg structure.

Computed properties:
total energy	-4.1016	eV/atom
distance to the lowest polymorph of the same formula	0.821	eV per formula unit

a b c (Å): 5.089 5.089 5.089
angles (deg): 60.00 60.00 60.00
Element x y z (fractional)
U 0.000 0.000 0.000
In 0.250 0.250 0.250
Hg 0.750 0.750 0.750

***

(2)
DFT (GGA-PBE) results for a geometry-optimized InHgW structure.

Computed properties:
total energy	-3.9967	eV/atom
distance to the lowest polymorph of the same formula	0.000	eV per formula unit

a b c (Å): 4.630 4.630 4.630
angles (deg): 60.00 60.00 60.00
Element x y z (fractional)
In 0.000 0.000 0.000
Hg 0.250 0.250 0.250
W 0.500 0.500 0.500

***

(3)
DFT (GGA-PBE) results for a geometry-optimized YInHg structure.

Computed properties:
total energy	-3.6483	eV/atom

a b c (Å): 4.830 4.830 7.478
angles (deg): 90.00 90.00 120.00
Element x y z (fractional)
Y 0.000 0.000 0.000
Y 0.000 0.000 0.500
In 0.333 0.667 0.280
In 0.667 0.333 0.780
Hg 0.333 0.667 0.690
Hg 0.667 0.333 0.190